Record 1
Entry from Alexandria via LeMat-Bulk: a relaxed structure of AgTeRuN2 (PBE-GGA).

## Properties
The calculation puts the magnetization at 0.33 μB/atom. The space-group type is P4/mmm, No. 123. As for the energy relative to the lowest polymorph listed for this composition: 1392.9 meV per atom. The total energy comes out at -4.239 eV/atom. For the uncorrected formation energy, the calculation gives 2145 meV/atom.

Cell lengths 3.9849, 3.9849, 6.3711 Å; angles 90.00, 90.00, 90.00 degrees
With the nearest neighbours (Å) after each atom.
Element x y z (fractional)
Te 0.0000 0.0000 0.5000  4 Ru 2.82
N 0.5000 0.0000 0.0000  2 Ag 1.99
Ru 0.5000 0.5000 0.5000  4 Te 2.82
N 0.0000 0.5000 0.0000  2 Ag 1.99
Ag 0.0000 0.0000 0.0000  4 N 1.99



Record 2
Entry from Alexandria via LeMat-Bulk: a relaxed structure of Y2AgRuN (PBE-GGA).

## Properties
The calculation puts the magnetization at 0.00 μB/atom. The space-group type is P4/mmm, No. 123. The total energy comes out at -7.378 eV/atom. For the uncorrected formation energy, the calculation gives -702 meV/atom.

Cell lengths 4.9247, 4.9247, 3.8895 Å; angles 90.00, 90.00, 90.00 degrees
With the nearest neighbours (Å) after each atom.
Element x y z (fractional)
Ag 0.5000 0.5000 0.5000  8 Y 3.14, 4 Ru 3.48
Y 0.5000 0.0000 0.0000  2 N 2.46
N 0.0000 0.0000 0.0000  2 Ru 1.94
Ru 0.0000 0.0000 0.5000  2 N 1.94
Y 0.0000 0.5000 0.0000  2 N 2.46



Record 3
Entry from Alexandria via LeMat-Bulk: a relaxed structure of Zr2AgRuN (PBE-GGA).

## Properties
The calculation puts the magnetization at 0.00 μB/atom. The space-group type is P4/mmm, No. 123. The total energy comes out at -7.832 eV/atom. For the uncorrected formation energy, the calculation gives -323 meV/atom.

Cell lengths 4.4216, 4.2332, 4.4216 Å; angles 90.00, 90.00, 90.00 degrees
With the nearest neighbours (Å) after each atom.
Element x y z (fractional)
Ru 0.5000 0.5000 0.5000  8 Zr 3.06, 4 Ag 3.13
Zr 0.5000 0.0000 0.0000  2 N 2.21
N 0.0000 0.0000 0.0000  2 Ag 2.12, 4 Zr 2.21
Zr 0.0000 0.0000 0.5000  2 N 2.21
Ag 0.0000 0.5000 0.0000  2 N 2.12



Record 4
Entry from Alexandria via LeMat-Bulk: a relaxed structure of AgSN2 (PBE-GGA).

## Properties
The calculation puts the magnetization at 0.00 μB/atom. The space-group type is I-42d, No. 122. The total energy comes out at -4.647 eV/atom. For the uncorrected formation energy, the calculation gives 1261 meV/atom.

Cell lengths 4.8554, 4.8554, 5.5231 Å; angles 63.92, 63.92, 90.00 degrees
With the nearest neighbours (Å) after each atom.
Element x y z (fractional)
S 0.2500 0.7500 0.5000  4 N 1.77
Ag 0.0000 0.0000 0.0000  4 N 2.37
N 0.2312 0.6250 0.2500  2 S 1.77
S 0.5000 0.5000 0.0000  4 N 1.77
N 0.8750 0.7688 0.7500  2 S 1.77
Ag 0.7500 0.2500 0.5000  4 N 2.37
N 0.3750 0.4812 0.7500  2 S 1.77
N 0.5188 0.1250 0.2500  2 S 1.77